[1]
The following is a DFT calculation (PBE) of a relaxed structure of CaPSe2.

Cell and atoms, written as POSCAR:
```
CaPSe2
1.0
4.118 0.000 0.000
0.000 4.118 0.000
0.000 0.000 10.072
Ca P Se
2 2 4
Direct
0.000 0.000 0.000
0.500 0.500 0.500
0.000 0.000 0.500
0.500 0.500 0.000
0.000 0.500 0.250
0.000 0.500 0.750
0.500 0.000 0.250
0.500 0.000 0.750
```

Values from the calculation:
ΔE_f (raw)   -0.264 eV per atom

[2]
The following is a DFT calculation (PBE) of a relaxed structure of YPuTlZn.

Cell and atoms, written as POSCAR:
```
YPuTlZn
1.0
7.438 0.000 0.000
0.000 7.438 0.000
0.000 0.000 7.438
Y Pu Tl Zn
4 4 4 4
Direct
0.000 0.000 0.000
0.000 0.500 0.500
0.500 0.000 0.500
0.500 0.500 0.000
0.000 0.000 0.500
0.000 0.500 0.000
0.500 0.000 0.000
0.500 0.500 0.500
0.250 0.250 0.250
0.250 0.750 0.750
0.750 0.250 0.750
0.750 0.750 0.250
0.250 0.250 0.750
0.250 0.750 0.250
0.750 0.250 0.250
0.750 0.750 0.750
```

Values from the calculation:
Formation enthalpy at 0 K   -0.59 eV per formula unit

[3]
The following is a DFT calculation (PBE) of a relaxed structure of Pm2ErPt.

Cell and atoms, written as POSCAR:
```
Pm2ErPt
1.0
3.665 0.000 0.000
0.000 3.665 0.000
0.000 0.000 8.412
Pm Er Pt
2 1 1
Direct
0.000 0.000 0.200
0.000 0.000 0.800
0.500 0.500 0.500
0.500 0.500 0.000
```

Values from the calculation:
Formation enthalpy at 0 K   -1.96 eV per formula unit
Energy above the lowest structure with this stoichiometry   0.70 eV per formula unit

[4]
The following is a DFT calculation (PBE) of a relaxed structure of TcAsBr3.

Cell and atoms, written as POSCAR:
```
TcAsBr3
1.0
4.992 0.000 0.000
0.000 4.992 0.000
0.000 0.000 4.992
Tc As Br
1 1 3
Direct
0.000 0.000 0.000
0.500 0.500 0.500
0.000 0.000 0.500
0.000 0.500 0.000
0.500 0.000 0.000
```

Values from the calculation:
ΔE_f (raw)   0.618 eV per atom